# PBE LiHfTiO4, relaxed
data_LiHfTiO4
_cell_length_a 5.992
_cell_length_b 6.367
_cell_length_c 8.750
_cell_angle_alpha 90.00
_cell_angle_beta 90.00
_cell_angle_gamma 90.00
_symmetry_space_group_name_H-M 'I m m a'
_symmetry_Int_Tables_number 74
_symmetry_space_group_name_Hall '-I 2b 2'
loop_
_atom_site_label
_atom_site_fract_x
_atom_site_fract_y
_atom_site_fract_z
_atom_site_occupancy
Li1 0.000 0.250 0.127 1
Hf1 0.000 0.000 0.500 1
Ti1 0.250 0.250 0.750 1
O1 0.000 0.029 0.738 1
O2 0.229 0.250 0.512 1
# Calculated density in g cm⁻³: 5.915
# Total moment in μB/atom: 0.104
# Raw total energy in eV per atom: -8.60